No. 1
# Tb2YNbN4

A geometry-optimized Tb2YNbN4 structure (PBE-GGA, Alexandria via LeMat-Bulk).

Results
**Spin magnetization**: 0.00 μB/f.u.
**Raw formation energy**: -1.4852 eV/atom
**Electronic total energy**: -8.8722 eV per atom

Cell: 5.853 3.370 5.859 Å, 90.00 109.12 90.00°
Atoms (fractional coordinates):
Tb  0.000  0.000  0.000
Tb  0.500  0.500  0.000
Y  0.000  0.500  0.500
Nb  0.500  0.000  0.500
N  0.262  0.000  0.736
N  0.268  0.500  0.268
N  0.732  0.500  0.732
N  0.738  0.000  0.264



No. 2
# RbBa2La2

A geometry-optimized RbBa2La2 structure (PBE-GGA, Alexandria via LeMat-Bulk).

Results
**Spin magnetization**: 0.00 μB/f.u.
**Electronic total energy**: -2.6197 eV per atom
**ΔH_f (0 K)**: 0.314 eV per atom

Cell: 14.585 14.585 14.585 Å, 161.68 161.68 26.02°
Atoms (fractional coordinates):
Rb  0.000  0.000  0.000
Ba  0.371  0.371  0.000
Ba  0.629  0.629  0.000
La  0.250  0.750  0.500
La  0.750  0.250  0.500



No. 3
# Np2TlIn9

A geometry-optimized Np2TlIn9 structure (PBE-GGA, Alexandria via LeMat-Bulk).

Results
**Spin magnetization**: 8.94 μB/f.u.
**Electronic total energy**: -4.3692 eV per atom
**ΔH_f (0 K)**: 0.039 eV per atom

Cell: 4.638 4.638 14.536 Å, 90.00 90.00 90.00°
Atoms (fractional coordinates):
Np  0.000  0.000  0.162
Np  0.000  0.000  0.838
Tl  0.000  0.000  0.500
In  0.000  0.500  0.000
In  0.000  0.500  0.322
In  0.000  0.500  0.678
In  0.500  0.000  0.000
In  0.500  0.000  0.322
In  0.500  0.000  0.678
In  0.500  0.500  0.158
In  0.500  0.500  0.500
In  0.500  0.500  0.842



No. 4
# ScBi2Pb

A geometry-optimized ScBi2Pb structure (PBE-GGA, Alexandria via LeMat-Bulk).

Results
**Spin magnetization**: 0.00 μB/f.u.
**Electronic total energy**: -4.6571 eV per atom
**ΔH_f (0 K)**: -0.207 eV per atom

Cell: 3.911 3.911 7.579 Å, 90.00 90.00 90.00°
Atoms (fractional coordinates):
Sc  0.000  0.000  0.000
Bi  0.500  0.500  0.214
Bi  0.500  0.500  0.786
Pb  0.000  0.000  0.500



No. 5
# Pm2Zn2Ir3

A geometry-optimized Pm2Zn2Ir3 structure (PBE-GGA, Alexandria via LeMat-Bulk).

Results
**Spin magnetization**: 0.00 μB/f.u.
**Electronic total energy**: -5.9816 eV per atom
**ΔH_f (0 K)**: -0.463 eV per atom

Cell: 5.658 5.658 6.830 Å, 115.39 115.39 44.66°
Atoms (fractional coordinates):
Pm  0.158  0.158  0.261
Pm  0.842  0.842  0.739
Zn  0.134  0.134  0.739
Zn  0.866  0.866  0.261
Ir  0.405  0.405  0.064
Ir  0.500  0.500  0.500
Ir  0.595  0.595  0.936



No. 6
# CeMgCuRu

A geometry-optimized CeMgCuRu structure (PBE-GGA, Alexandria via LeMat-Bulk).

Results
**Spin magnetization**: 0.00 μB/f.u.
**Electronic total energy**: -5.3290 eV per atom
**ΔH_f (0 K)**: -0.104 eV per atom

Cell: 4.715 4.715 4.715 Å, 60.00 60.00 60.00°
Atoms (fractional coordinates):
Ce  0.000  0.000  0.000
Mg  0.500  0.500  0.500
Cu  0.250  0.250  0.250
Ru  0.750  0.750  0.750



No. 7
# TiBeAg2Se

A geometry-optimized TiBeAg2Se structure (PBE-GGA, Alexandria via LeMat-Bulk).

Results
**Spin magnetization**: 0.62 μB/f.u.
**Raw formation energy**: 0.7702 eV/atom
**Electronic total energy**: -3.3915 eV per atom

Cell: 4.895 4.895 4.756 Å, 90.00 90.00 90.00°
Atoms (fractional coordinates):
Ti  0.000  0.000  0.000
Be  0.500  0.500  0.000
Ag  0.000  0.500  0.500
Ag  0.500  0.000  0.500
Se  0.000  0.000  0.500



No. 8
# PuNpNi2

A geometry-optimized PuNpNi2 structure (PBE-GGA, Alexandria via LeMat-Bulk).

Results
**Spin magnetization**: 8.18 μB/f.u.
**Electronic total energy**: -9.5701 eV per atom
**ΔH_f (0 K)**: 0.139 eV per atom

Cell: 4.004 4.004 4.160 Å, 90.00 90.00 90.00°
Atoms (fractional coordinates):
Pu  0.000  0.000  0.000
Np  0.500  0.500  0.000
Ni  0.000  0.500  0.500
Ni  0.500  0.000  0.500



No. 9
# Tm3In2

A geometry-optimized Tm3In2 structure (PBE-GGA, Alexandria via LeMat-Bulk).

Results
**Spin magnetization**: 0.06 μB/f.u.
**Electronic total energy**: -4.1380 eV per atom
**ΔH_f (0 K)**: -0.360 eV per atom

Cell: 11.203 11.203 11.203 Å, 162.04 162.04 25.51°
Atoms (fractional coordinates):
Tm  0.000  0.000  0.000
Tm  0.193  0.193  0.000
Tm  0.807  0.807  0.000
In  0.404  0.404  0.000
In  0.596  0.596  0.000



No. 10
# Y2Be2Pd5Au

A geometry-optimized Y2Be2Pd5Au structure (PBE-GGA, Alexandria via LeMat-Bulk).

Results
**Spin magnetization**: 0.00 μB/f.u.
**Electronic total energy**: -5.6801 eV per atom
**ΔH_f (0 K)**: -0.718 eV per atom

Cell: 9.497 9.497 3.608 Å, 90.00 90.00 90.00°
Atoms (fractional coordinates):
Y  0.181  0.319  0.000
Y  0.319  0.819  0.000
Y  0.681  0.181  0.000
Y  0.819  0.681  0.000
Be  0.116  0.616  0.000
Be  0.384  0.116  0.000
Be  0.616  0.884  0.000
Be  0.884  0.384  0.000
Pd  0.000  0.500  0.500
Pd  0.068  0.783  0.500
Pd  0.217  0.068  0.500
Pd  0.283  0.568  0.500
Pd  0.432  0.283  0.500
Pd  0.500  0.000  0.500
Pd  0.568  0.717  0.500
Pd  0.717  0.432  0.500
Pd  0.783  0.932  0.500
Pd  0.932  0.217  0.500
Au  0.000  0.000  0.000
Au  0.500  0.500  0.000



No. 11
# Be3CdNi

A geometry-optimized Be3CdNi structure (PBE-GGA, Alexandria via LeMat-Bulk).

Results
**Spin magnetization**: 0.00 μB/f.u.
**Electronic total energy**: -3.1830 eV per atom
**ΔH_f (0 K)**: 0.392 eV per atom

Cell: 4.057 4.057 4.057 Å, 90.00 90.00 90.00°
Atoms (fractional coordinates):
Be  0.000  0.000  0.500
Be  0.000  0.500  0.000
Be  0.500  0.000  0.000
Cd  0.500  0.500  0.500
Ni  0.000  0.000  0.000



No. 12
# Tl2PCl

A geometry-optimized Tl2PCl structure (PBE-GGA, Alexandria via LeMat-Bulk).

Results
**Spin magnetization**: 0.00 μB/f.u.
**Raw formation energy**: -0.1615 eV/atom
**Electronic total energy**: -3.1587 eV per atom

Cell: 8.787 8.787 8.787 Å, 28.61 28.61 28.61°
Atoms (fractional coordinates):
Tl  0.000  0.000  0.000
Tl  0.207  0.207  0.207
P  0.517  0.517  0.517
Cl  0.727  0.727  0.727